Entry 1:
Density functional theory data (GGA-PBEsol) for a relaxed BeAlBi2Sb crystal.

Geometry as POSCAR:
```
BeAlBi2Sb
1.0
4.324 0.000 0.000
0.000 5.928 0.000
0.000 0.000 5.928
Be Bi Sb Al
1 2 1 1
direct
0.500 0.000 0.000
0.000 0.500 0.000
0.000 0.000 0.500
0.000 0.000 0.000
0.500 0.500 0.500
```

Summary:
Formation energy (no corrections), kJ/mol of atoms: 83.9
Total energy, eV/atom: -3.374

***

Entry 2:
Density functional theory data (GGA-PBEsol) for a relaxed BeAl2TlBi crystal.

Geometry as POSCAR:
```
BeAl2TlBi
1.0
-2.770 2.644 -3.411
-3.190 -3.985 -0.499
-3.316 2.113 4.330
Al Be Bi Tl
2 1 1 1
direct
0.500 0.000 0.000
0.000 0.500 0.000
0.500 0.500 0.500
0.000 0.000 0.500
0.000 0.000 0.000
```

Summary:
Formation enthalpy at 0 K, eV per atom: 1.334
Total energy, eV/atom: -2.486

***

Entry 3:
Density functional theory data (GGA-PBEsol) for a relaxed BeAl2Br crystal.

Geometry as POSCAR:
```
BeAl2Br
1.0
3.635 0.000 0.009
0.000 4.563 0.000
-1.004 0.000 4.510
Br Be Al
1 1 2
direct
0.000 0.500 0.500
0.500 0.500 0.000
0.330 0.000 0.218
0.670 0.000 0.782
```

Summary:
Formation energy (no corrections), kJ/mol of atoms: 39.3
Energy above the most stable polymorph in this dataset, meV per atom: 247.2
Total energy, eV/atom: -3.106

***

Entry 4:
Density functional theory data (GGA-PBEsol) for a relaxed BeAlBr crystal.

Geometry as POSCAR:
```
BeAlBr
1.0
3.206 0.000 0.000
1.603 2.835 0.000
1.603 0.000 7.107
Al Br Be
1 1 1
direct
0.039 0.000 0.922
0.282 0.000 0.436
0.679 0.000 0.643
```

Summary:
Formation energy (no corrections), kJ/mol of atoms: 27.6
Energy above the most stable polymorph in this dataset, meV per atom: 94.9
Total energy, eV/atom: -3.035